First-principles (PBE-GGA) data for an optimized crystal structure of CaAc2LaRu, as listed in Alexandria.

a b c (Å): 5.8989 5.8989 5.5784
angles (deg): 90.00 90.00 90.00
Closest atoms and distances in Å follow each position.
Element x y z (fractional)
Ca 0.0000 0.0000 0.0000  8 Ac 4.06, 4 La 4.17
Ac 0.0000 0.5000 0.5000  2 Ru 2.95
Ac 0.5000 0.0000 0.5000  2 Ru 2.95
La 0.5000 0.5000 0.0000  2 Ru 2.79
Ru 0.5000 0.5000 0.5000  2 La 2.79, 4 Ac 2.95

## Properties
The value obtained for the calculated volume is 194 Å³/cell. The symmetry is P4/mmm (123). For the density, the calculation gives 6.280 g/cm³. For the density of states at the Fermi level, the calculation gives 3.6 states/eV/f.u. The total energy is -25.2 eV/f.u. The calculation puts the formation energy at -0.7 eV/f.u.

***

First-principles (PBE-GGA) data for an optimized crystal structure of CsSiGe2W, as listed in Alexandria.

a b c (Å): 5.2939 5.2939 5.1805
angles (deg): 90.00 90.00 90.00
Closest atoms and distances in Å follow each position.
Element x y z (fractional)
Cs 0.0000 0.0000 0.0000  2 Si 2.59, 4 Ge 2.65
Si 0.0000 0.0000 0.5000  2 Cs 2.59
Ge 0.0000 0.5000 0.0000  2 Cs 2.65
Ge 0.5000 0.0000 0.0000  2 Cs 2.65
W 0.5000 0.5000 0.5000  8 Ge 3.70, 4 Si 3.74

## Properties
The value obtained for the calculated volume is 145 Å³/cell. The symmetry is P4/mmm (123). For the density, the calculation gives 5.606 g/cm³. For the density of states at the Fermi level, the calculation gives 9.5 states/eV/f.u. The total energy is -12.9 eV/f.u. The value obtained for the formation energy (no corrections) is 3.11 eV/atom.

***

First-principles (PBE-GGA) data for an optimized crystal structure of Ti10Ga3Bi3, as listed in Alexandria.

a b c (Å): 7.9460 7.9460 5.4121
angles (deg): 90.00 90.00 120.00
Closest atoms and distances in Å follow each position.
Element x y z (fractional)
Ti 0.0000 0.2517 0.0000  3 Ga 2.67-2.91, 2 Bi 2.96
Ti 0.0000 0.7710 0.5000  3 Bi 2.78-2.93, 2 Ga 2.97
Ti 0.2290 0.2290 0.5000  3 Bi 2.78-2.93, 2 Ga 2.97
Ti 0.2517 0.0000 0.0000  3 Ga 2.67-2.91, 2 Bi 2.96
Ti 0.3333 0.6667 0.2321  1 Ti 2.51, 3 Ga 2.78
Ti 0.3333 0.6667 0.7679  1 Ti 2.51, 3 Ga 2.78
Ti 0.6667 0.3333 0.2321  1 Ti 2.51, 3 Ga 2.78
Ti 0.6667 0.3333 0.7679  1 Ti 2.51, 3 Ga 2.78
Ti 0.7483 0.7483 0.0000  3 Ga 2.67-2.91, 2 Bi 2.96
Ti 0.7710 0.0000 0.5000  3 Bi 2.78-2.93, 2 Ga 2.97
Ga 0.0000 0.6179 0.0000  9 Ti 2.67-2.97
Ga 0.3821 0.3821 0.0000  9 Ti 2.67-2.97
Ga 0.6179 0.0000 0.0000  9 Ti 2.67-2.97
Bi 0.0000 0.4028 0.5000  9 Ti 2.78-2.96
Bi 0.4028 0.0000 0.5000  9 Ti 2.78-2.96
Bi 0.5972 0.5972 0.5000  9 Ti 2.78-2.96

## Properties
The value obtained for the calculated volume is 296 Å³/cell. The symmetry is P-62m (189). For the density, the calculation gives 7.378 g/cm³. For the density of states at the Fermi level, the calculation gives 12.8 states/eV/f.u. The total energy is -103.8 eV/f.u. The calculation puts the formation energy at -4.1 eV/f.u.

***

First-principles (PBE-GGA) data for an optimized crystal structure of Y2SiOs2, as listed in Alexandria.

a b c (Å): 6.5161 6.5161 4.6254
angles (deg): 90.00 90.00 90.00
Closest atoms and distances in Å follow each position.
Element x y z (fractional)
Y 0.1775 0.3225 0.0000  6 Os 2.88-3.10
Y 0.3225 0.8225 0.0000  6 Os 2.88-3.10
Y 0.6775 0.1775 0.0000  6 Os 2.88-3.10
Y 0.8225 0.6775 0.0000  6 Os 2.88-3.10
Si 0.0000 0.0000 0.5000  4 Os 2.53
Si 0.5000 0.5000 0.5000  4 Os 2.53
Os 0.1356 0.6356 0.5000  1 Os 2.50, 2 Si 2.53
Os 0.3644 0.1356 0.5000  1 Os 2.50, 2 Si 2.53
Os 0.6356 0.8644 0.5000  1 Os 2.50, 2 Si 2.53
Os 0.8644 0.3644 0.5000  1 Os 2.50, 2 Si 2.53

## Properties
The calculation puts the relative energy among the computed polymorphs at 86 kJ/mol of formula units. The value obtained for the calculated volume is 196 Å³/cell. The symmetry is P4/mbm (127). For the density, the calculation gives 9.916 g/cm³. For the density of states at the Fermi level, the calculation gives 3.7 states/eV/f.u. The total energy is -42.4 eV/f.u. The value obtained for the formation energy (no corrections) is -0.31 eV/atom.

***

First-principles (PBE-GGA) data for an optimized crystal structure of Al2CdCu, as listed in Alexandria.

a b c (Å): 2.9157 2.9157 7.9152
angles (deg): 90.00 90.00 90.00
Closest atoms and distances in Å follow each position.
Element x y z (fractional)
Al 0.0000 0.0000 0.2051  4 Cu 2.62, 4 Al 2.92
Al 0.0000 0.0000 0.7949  4 Cu 2.62, 4 Al 2.92
Cd 0.5000 0.5000 0.5000  4 Cd 2.92, 8 Al 3.11
Cu 0.5000 0.5000 0.0000  8 Al 2.62, 4 Cu 2.92

## Properties
The value obtained for the calculated volume is 67 Å³/cell. The symmetry is P4/mmm (123). For the density, the calculation gives 5.674 g/cm³. For the density of states at the Fermi level, the calculation gives 1.6 states/eV/f.u. The total energy is -12.5 eV/f.u. The calculation puts the formation energy at 0.0 eV/f.u.

***

First-principles (PBE-GGA) data for an optimized crystal structure of Al2CdW, as listed in Alexandria.

a b c (Å): 2.8135 2.8135 8.8517
angles (deg): 90.00 90.00 90.00
Closest atoms and distances in Å follow each position.
Element x y z (fractional)
Al 0.0000 0.0000 0.2247  4 W 2.81, 4 Al 2.81, 4 Cd 3.15
Al 0.0000 0.0000 0.7753  4 W 2.81, 4 Al 2.81, 4 Cd 3.15
Cd 0.5000 0.5000 0.5000  4 Cd 2.81, 8 Al 3.15
W 0.5000 0.5000 0.0000  8 Al 2.81, 4 W 2.81

## Properties
The value obtained for the calculated volume is 70 Å³/cell. The symmetry is P4/mmm (123). For the density, the calculation gives 8.300 g/cm³. For the density of states at the Fermi level, the calculation gives 1.6 states/eV/f.u. The total energy is -20.7 eV/f.u. The calculation puts the formation energy at 0.7 eV/f.u.

***

First-principles (PBE-GGA) data for an optimized crystal structure of Tb3TmTl2, as listed in Alexandria.

a b c (Å): 5.1025 10.0184 6.7630
angles (deg): 90.00 90.00 90.00
Closest atoms and distances in Å follow each position.
Element x y z (fractional)
Tb 0.0000 0.0383 0.0000  5 Tl 3.22-3.51, 4 Tb 3.47-3.50
Tb 0.0000 0.3169 0.3674  4 Tl 3.19-3.23, 2 Tm 3.48
Tb 0.0000 0.6831 0.8674  4 Tl 3.19-3.23, 2 Tm 3.48
Tb 0.0000 0.9617 0.5000  5 Tl 3.22-3.51, 4 Tb 3.47-3.50
Tb 0.5000 0.1890 0.7235  4 Tl 3.20-3.26, 2 Tb 3.50
Tb 0.5000 0.8110 0.2235  4 Tl 3.20-3.26, 2 Tb 3.50
Tm 0.5000 0.4609 0.0888  5 Tl 3.21-3.52, 2 Tm 3.47, 2 Tb 3.48
Tm 0.5000 0.5391 0.5888  5 Tl 3.21-3.52, 2 Tm 3.47, 2 Tb 3.48
Tl 0.0000 0.3650 0.8392  5 Tb 3.19-3.45, 4 Tm 3.21-3.52
Tl 0.0000 0.6350 0.3392  5 Tb 3.19-3.45, 4 Tm 3.21-3.52
Tl 0.5000 0.1355 0.2523  8 Tb 3.22-3.51, 1 Tm 3.44
Tl 0.5000 0.8645 0.7523  8 Tb 3.22-3.51, 1 Tm 3.44

## Properties
The calculation puts the relative energy among the computed polymorphs at 0 kJ/mol of formula units. The value obtained for the calculated volume is 346 Å³/cell. The symmetry is Pmc2_1 (26). For the density, the calculation gives 10.130 g/cm³. For the density of states at the Fermi level, the calculation gives 6.0 states/eV/f.u. The total energy is -24.7 eV/f.u. The calculation puts the formation energy at -1.6 eV/f.u.

***

First-principles (PBE-GGA) data for an optimized crystal structure of HoLu2Os, as listed in Alexandria.

a b c (Å): 10.9387 10.9387 10.9387
angles (deg): 17.60 17.60 17.60
Closest atoms and distances in Å follow each position.
Element x y z (fractional)
Ho 0.0000 0.0000 0.0000  6 Ho 3.35, 2 Lu 3.38
Lu 0.1046 0.1046 0.1046  3 Os 2.78
Lu 0.8954 0.8954 0.8954  3 Os 2.78
Os 0.5000 0.5000 0.5000  6 Lu 2.78

## Properties
The calculation puts the relative energy among the computed polymorphs at 156 kJ/mol of formula units. The value obtained for the calculated volume is 104 Å³/cell. The symmetry is R-3m (166). For the density, the calculation gives 11.213 g/cm³. For the density of states at the Fermi level, the calculation gives 6.3 states/eV/f.u. The total energy is -24.0 eV/f.u. The calculation puts the formation energy at 0.8 eV/f.u.

***

First-principles (PBE-GGA) data for an optimized crystal structure of BaIn2Ge, as listed in Alexandria.

a b c (Å): 7.0444 7.0444 7.0444
angles (deg): 39.51 39.51 39.51
Closest atoms and distances in Å follow each position.
Element x y z (fractional)
Ba 0.0000 0.0000 0.0000  6 In 3.52
In 0.2205 0.2205 0.2205  3 Ge 2.94
In 0.7795 0.7795 0.7795  3 Ge 2.94
Ge 0.5000 0.5000 0.5000  6 In 2.94

## Properties
The calculation puts the relative energy among the computed polymorphs at 32 kJ/mol of formula units. The value obtained for the calculated volume is 127 Å³/cell. The symmetry is R-3m (166). For the density, the calculation gives 5.730 g/cm³. For the density of states at the Fermi level, the calculation gives 1.1 states/eV/f.u. The total energy is -13.1 eV/f.u. The calculation puts the formation energy at -1.0 eV/f.u.